Record 1
Below is a relaxed TlBr2 crystal, with properties calculated at the PBE-GGA level.

Properties
SG = No. 52
E_form (uncorrected) = -629 meV/atom
size of the total moment = 0.00 μB/cell

a b c (Å): 8.130 10.757 10.800
angles (deg): 90.00 90.00 90.00
Positions (direct):
Tl 0.179 0.250 0.250
Tl 0.250 0.000 0.677
Tl 0.250 0.500 0.823
Tl 0.321 0.750 0.250
Tl 0.679 0.250 0.750
Tl 0.750 0.000 0.323
Tl 0.750 0.500 0.177
Tl 0.821 0.750 0.750
Br 0.009 0.541 0.318
Br 0.009 0.959 0.182
Br 0.151 0.692 0.954
Br 0.151 0.808 0.546
Br 0.349 0.192 0.546
Br 0.349 0.308 0.954
Br 0.491 0.041 0.182
Br 0.491 0.459 0.318
Br 0.509 0.541 0.682
Br 0.509 0.959 0.818
Br 0.651 0.692 0.046
Br 0.651 0.808 0.454
Br 0.849 0.192 0.454
Br 0.849 0.308 0.046
Br 0.991 0.041 0.818
Br 0.991 0.459 0.682



Record 2
Below is a relaxed Y6Tl2Cd crystal, with properties calculated at the PBE-GGA level.

Properties
SG = No. 14
ΔE_f = -0.1633 eV per atom
size of the total moment = 0.00 μB/cell

a b c (Å): 6.186 8.990 11.024
angles (deg): 90.00 118.33 90.00
Positions (direct):
Y 0.040 0.166 0.437
Y 0.040 0.334 0.937
Y 0.368 0.679 0.438
Y 0.368 0.821 0.938
Y 0.412 0.029 0.305
Y 0.412 0.471 0.805
Y 0.588 0.529 0.195
Y 0.588 0.971 0.695
Y 0.632 0.179 0.062
Y 0.632 0.321 0.562
Y 0.960 0.666 0.063
Y 0.960 0.834 0.563
Tl 0.170 0.131 0.750
Tl 0.170 0.369 0.250
Tl 0.830 0.631 0.750
Tl 0.830 0.869 0.250
Cd 0.000 0.000 0.000
Cd 0.000 0.500 0.500



Record 3
Below is a relaxed Pm14ThIn crystal, with properties calculated at the PBE-GGA level.

Properties
SG = No. 38
ΔE_f = -0.0232 eV per atom
size of the total moment = 0.00 μB/cell

a b c (Å): 10.210 7.220 7.220
angles (deg): 89.99 90.00 90.00
Positions (direct):
Pm 0.000 0.000 0.000
Pm 0.000 0.000 0.500
Pm 0.000 0.500 0.000
Pm 0.000 0.500 0.500
Pm 0.256 0.250 0.250
Pm 0.256 0.250 0.750
Pm 0.256 0.750 0.250
Pm 0.256 0.750 0.750
Pm 0.500 0.000 0.499
Pm 0.500 0.499 0.000
Pm 0.744 0.250 0.250
Pm 0.744 0.250 0.750
Pm 0.744 0.750 0.250
Pm 0.744 0.750 0.750
Th 0.500 0.500 0.500
In 0.500 0.000 0.000



Record 4
Below is a relaxed GaTcOF2 crystal, with properties calculated at the PBE-GGA level.

Properties
ΔE to the lowest computed polymorph = 0.0000 eV per atom
SG = No. 123
E_form (uncorrected) = -1251 meV/atom
size of the total moment = 0.00 μB/cell

a b c (Å): 4.314 4.314 3.801
angles (deg): 90.00 90.00 90.00
Positions (direct):
Ga 0.000 0.000 0.000
Tc 0.500 0.500 0.500
O 0.500 0.500 0.000
F 0.000 0.500 0.500
F 0.500 0.000 0.500



Record 5
Below is a relaxed Tb4Al12Pt crystal, with properties calculated at the PBE-GGA level.

Properties
SG = No. 229
ΔE_f = -0.5800 eV per atom
size of the total moment = 0.00 μB/cell

a b c (Å): 7.508 7.508 7.508
angles (deg): 109.47 109.47 109.47
Positions (direct):
Tb 0.000 0.000 0.500
Tb 0.000 0.500 0.000
Tb 0.500 0.000 0.000
Tb 0.500 0.500 0.500
Al 0.000 0.293 0.293
Al 0.000 0.707 0.707
Al 0.250 0.500 0.750
Al 0.250 0.750 0.500
Al 0.293 0.000 0.293
Al 0.293 0.293 0.000
Al 0.500 0.250 0.750
Al 0.500 0.750 0.250
Al 0.707 0.000 0.707
Al 0.707 0.707 0.000
Al 0.750 0.250 0.500
Al 0.750 0.500 0.250
Pt 0.000 0.000 0.000



Record 6
Below is a relaxed Ca2EuP crystal, with properties calculated at the PBE-GGA level.

Properties
ΔE to the lowest computed polymorph = 0.0397 eV per atom
SG = No. 123
ΔE_f = -0.4893 eV per atom
size of the total moment = 8.27 μB/cell

a b c (Å): 3.704 3.704 9.258
angles (deg): 90.00 90.00 90.00
Positions (direct):
Ca 0.000 0.000 0.160
Ca 0.000 0.000 0.840
Eu 0.500 0.500 0.500
P 0.500 0.500 0.000



no.,DFT total energy (eV per atom)
1,-2.53
2,-5.10
3,-4.81
4,-5.67
5,-4.67
6,-5.41